A plane-wave DFT calculation with PBE was carried out for HoCuIr after structural relaxation.

Results
The value obtained for the formation energy is -0.002 eV per atom. Its crystal system is trigonal. The value obtained for the polymorph energy (0 for the lowest one) is 57.4 kJ/mol of atoms.

Cell: 3.8780 3.8780 14.3342 Å, 90.00 90.00 120.00°
Space group R3m (No. 160, hexagonal axes)
Inequivalent atoms, fractional coordinates:
Ho (0.0000, 0.0000, 0.0000) (multiplicity 3)
Cu (0.0000, 0.0000, 0.8025) (multiplicity 3)
Ir (0.0000, 0.0000, 0.2123) (multiplicity 3)